No. 1
First-principles (PBE-GGA) data for crystalline AlZnIn at its relaxed geometry, as listed in Alexandria via LeMat-Bulk.

## Properties
- Density of states at the Fermi level: 1.18 states/eV per cell
- Energy of formation: 0.43 eV/f.u.
- Spin magnetization: 0.0 μB/f.u.

a b c (Å): 5.492 5.492 5.492
angles (deg): 148.48 136.19 54.96
Sites, in units of the cell vectors:
In 0.332 0.332 0.000
Al 0.021 0.021 0.000
Zn 0.647 0.647 0.000



No. 2
First-principles (PBE-GGA) data for crystalline AlZnIn at its relaxed geometry, as listed in Alexandria via LeMat-Bulk.

## Properties
- Density of states at the Fermi level: 0.55 states/eV per cell
- Energy of formation: 0.47 eV/f.u.
- Spin magnetization: 0.0 μB/f.u.

a b c (Å): 4.493 4.493 3.582
angles (deg): 90.00 90.00 120.00
Sites, in units of the cell vectors:
Al 0.000 0.000 0.831
In 0.667 0.333 0.333
Zn 0.333 0.667 0.837



No. 3
First-principles (PBE-GGA) data for crystalline AlZnIn at its relaxed geometry, as listed in Alexandria via LeMat-Bulk.

## Properties
- Density of states at the Fermi level: 2.98 states/eV per cell
- Energy of formation: 0.26 eV/f.u.
- Spin magnetization: 0.0 μB/f.u.

a b c (Å): 5.166 4.073 6.106
angles (deg): 90.07 76.60 89.99
Sites, in units of the cell vectors:
Al 0.099 0.328 0.952
Al 0.293 0.828 0.177
In 0.957 0.329 0.505
In 0.436 0.829 0.624
Zn 0.793 0.828 0.169
Zn 0.599 0.327 0.960



No. 4
First-principles (PBE-GGA) data for crystalline Zr2Al2In at its relaxed geometry, as listed in Alexandria via LeMat-Bulk.

## Properties
- Density of states at the Fermi level: 4.09 states/eV per cell
- Polymorph energy (0 for the lowest one): 0.00 eV/f.u.
- Energy of formation: -1.83 eV/f.u.
- Spin magnetization: 0.0 μB/f.u.

a b c (Å): 7.073 7.073 4.024
angles (deg): 90.00 90.00 90.00
Sites, in units of the cell vectors:
In 0.500 0.500 0.000
In 0.000 0.000 0.000
Zr 0.674 0.826 0.500
Zr 0.174 0.674 0.500
Zr 0.326 0.174 0.500
Zr 0.826 0.326 0.500
Al 0.875 0.625 0.000
Al 0.625 0.125 0.000
Al 0.125 0.375 0.000
Al 0.375 0.875 0.000



No. 5
First-principles (PBE-GGA) data for crystalline ZrAlIn2 at its relaxed geometry, as listed in Alexandria via LeMat-Bulk.

## Properties
- Density of states at the Fermi level: 1.91 states/eV per cell
- Energy of formation: -0.24 eV/f.u.
- Spin magnetization: 0.0 μB/f.u.

a b c (Å): 3.651 3.651 6.502
angles (deg): 90.00 90.00 90.00
Sites, in units of the cell vectors:
Al 0.500 0.500 0.750
In 0.000 0.000 0.982
In 0.000 0.000 0.518
Zr 0.500 0.500 0.250



No. 6
First-principles (PBE-GGA) data for crystalline Zr2AlIn at its relaxed geometry, as listed in Alexandria via LeMat-Bulk.

## Properties
- Density of states at the Fermi level: 4.87 states/eV per cell
- Energy of formation: -0.03 eV/f.u.
- Spin magnetization: 0.0 μB/f.u.

a b c (Å): 10.428 10.428 10.428
angles (deg): 17.31 17.31 17.31
Sites, in units of the cell vectors:
Zr 0.001 0.001 0.001
Zr 0.244 0.244 0.244
Al 0.500 0.500 0.500
In 0.754 0.754 0.754



No. 7
First-principles (PBE-GGA) data for crystalline Zr5AlIn at its relaxed geometry, as listed in Alexandria via LeMat-Bulk.

## Properties
- Density of states at the Fermi level: 11.97 states/eV per cell
- Energy of formation: 0.33 eV/f.u.
- Spin magnetization: 0.0 μB/f.u.

a b c (Å): 5.995 5.995 11.532
angles (deg): 68.53 68.53 58.95
Sites, in units of the cell vectors:
Zr 0.168 0.832 0.250
Zr 0.337 0.307 0.011
Zr 0.693 0.663 0.489
Zr 0.832 0.168 0.750
Zr 0.873 0.632 0.720
Zr 0.307 0.337 0.511
Zr 0.368 0.127 0.780
Zr 0.663 0.693 0.989
Zr 0.127 0.368 0.280
Zr 0.632 0.873 0.220
Al 0.000 0.000 0.000
Al 0.000 0.000 0.500
In 0.673 0.327 0.250
In 0.327 0.673 0.750



No. 8
First-principles (PBE-GGA) data for crystalline Zr2Al2In at its relaxed geometry, as listed in Alexandria via LeMat-Bulk.

## Properties
- Density of states at the Fermi level: 6.34 states/eV per cell
- Polymorph energy (0 for the lowest one): 1.37 eV/f.u.
- Energy of formation: -0.46 eV/f.u.
- Spin magnetization: 0.0 μB/f.u.

a b c (Å): 8.064 8.064 3.321
angles (deg): 90.00 90.00 90.00
Sites, in units of the cell vectors:
Al 0.329 0.171 0.500
Al 0.671 0.829 0.500
Al 0.171 0.671 0.500
Al 0.829 0.329 0.500
Zr 0.631 0.131 0.000
Zr 0.869 0.631 0.000
Zr 0.369 0.869 0.000
Zr 0.131 0.369 0.000
In 0.000 0.000 0.000
In 0.500 0.500 0.000



No. 9
First-principles (PBE-GGA) data for crystalline Zr2AlIn at its relaxed geometry, as listed in Alexandria via LeMat-Bulk.

## Properties
- Density of states at the Fermi level: 2.94 states/eV per cell
- Energy of formation: -1.44 eV/f.u.
- Spin magnetization: 0.0 μB/f.u.

a b c (Å): 5.337 5.337 5.337
angles (deg): 131.64 131.64 70.79
Sites, in units of the cell vectors:
Zr 0.000 0.000 0.000
Zr 0.500 0.500 0.000
Al 0.250 0.750 0.500
In 0.750 0.250 0.500



No. 10
First-principles (PBE-GGA) data for crystalline Zr2AlIn2 at its relaxed geometry, as listed in Alexandria via LeMat-Bulk.

## Properties
- Density of states at the Fermi level: 15.73 states/eV per cell
- Polymorph energy (0 for the lowest one): 0.20 eV/f.u.
- Energy of formation: -0.42 eV/f.u.
- Spin magnetization: 0.0 μB/f.u.

a b c (Å): 7.269 7.269 4.431
angles (deg): 90.00 90.00 90.00
Sites, in units of the cell vectors:
In 0.847 0.347 0.500
In 0.653 0.847 0.500
In 0.347 0.153 0.500
In 0.153 0.653 0.500
Al 0.000 0.000 0.000
Al 0.500 0.500 0.000
Zr 0.345 0.845 0.000
Zr 0.845 0.655 0.000
Zr 0.155 0.345 0.000
Zr 0.655 0.155 0.000



No. 11
First-principles (PBE-GGA) data for crystalline ZrAlIn2 at its relaxed geometry, as listed in Alexandria via LeMat-Bulk.

## Properties
- Density of states at the Fermi level: 1.79 states/eV per cell
- Energy of formation: -0.85 eV/f.u.
- Spin magnetization: 0.0 μB/f.u.

a b c (Å): 4.348 4.348 4.433
angles (deg): 90.00 90.00 90.00
Sites, in units of the cell vectors:
In 0.000 0.000 0.000
In 0.500 0.500 0.000
Zr 0.500 0.000 0.500
Al 0.000 0.500 0.500



No. 12
First-principles (PBE-GGA) data for crystalline Zr7AlIn3 at its relaxed geometry, as listed in Alexandria via LeMat-Bulk.

## Properties
- Density of states at the Fermi level: 20.49 states/eV per cell
- Energy of formation: -0.83 eV/f.u.
- Spin magnetization: 0.0 μB/f.u.

a b c (Å): 3.085 12.188 13.547
angles (deg): 90.00 90.00 97.27
Sites, in units of the cell vectors:
Zr 0.267 0.534 0.095
Zr 0.458 0.916 0.582
Zr 0.582 0.163 0.869
Zr 0.458 0.916 0.918
Zr 0.418 0.837 0.131
Zr 0.633 0.265 0.250
Zr 0.542 0.084 0.418
Zr 0.733 0.466 0.595
Zr 0.267 0.534 0.405
Zr 0.733 0.466 0.905
Zr 0.582 0.163 0.631
Zr 0.367 0.735 0.750
Zr 0.418 0.837 0.369
Zr 0.542 0.084 0.082
Al 0.006 0.012 0.250
Al 0.994 0.988 0.750
In 0.851 0.703 0.542
In 0.149 0.297 0.042
In 0.851 0.703 0.958
In 0.149 0.297 0.458
In 0.169 0.338 0.750
In 0.831 0.662 0.250



No. 13
First-principles (PBE-GGA) data for crystalline ZrAlIn2 at its relaxed geometry, as listed in Alexandria via LeMat-Bulk.

## Properties
- Density of states at the Fermi level: 3.46 states/eV per cell
- Energy of formation: 0.04 eV/f.u.
- Spin magnetization: 0.0 μB/f.u.

a b c (Å): 3.066 3.066 9.416
angles (deg): 90.00 90.00 89.98
Sites, in units of the cell vectors:
Al 0.500 0.500 0.750
In 0.000 0.000 0.002
In 0.000 0.000 0.498
Zr 0.500 0.500 0.250



No. 14
First-principles (PBE-GGA) data for crystalline ZrAlIn2 at its relaxed geometry, as listed in Alexandria via LeMat-Bulk.

## Properties
- Density of states at the Fermi level: 5.18 states/eV per cell
- Energy of formation: 0.34 eV/f.u.
- Spin magnetization: 0.0 μB/f.u.

a b c (Å): 7.922 7.922 6.320
angles (deg): 51.19 51.19 90.00
Sites, in units of the cell vectors:
In 0.596 0.125 0.250
In 0.875 0.846 0.750
In 0.375 0.404 0.750
In 0.154 0.625 0.250
Zr 0.000 0.000 0.000
Zr 0.750 0.250 0.500
Al 0.250 0.750 0.500
Al 0.500 0.500 0.000



No. 15
First-principles (PBE-GGA) data for crystalline ZrAlIn2 at its relaxed geometry, as listed in Alexandria via LeMat-Bulk.

## Properties
- Density of states at the Fermi level: 1.76 states/eV per cell
- Energy of formation: -0.38 eV/f.u.
- Spin magnetization: 0.0 μB/f.u.

a b c (Å): 5.356 6.063 3.175
angles (deg): 74.92 89.79 116.15
Sites, in units of the cell vectors:
In 0.000 0.000 0.000
In 0.500 0.000 0.500
Al 0.500 0.500 0.000
Zr 0.000 0.500 0.500



No. 16
First-principles (PBE-GGA) data for crystalline Zr2AlIn at its relaxed geometry, as listed in Alexandria via LeMat-Bulk.

## Properties
- Density of states at the Fermi level: 4.41 states/eV per cell
- Energy of formation: 0.45 eV/f.u.
- Spin magnetization: 0.3 μB/f.u.

a b c (Å): 4.923 4.923 4.923
angles (deg): 60.00 60.00 60.00
Each line ends with the local moment (μB).
Sites, in units of the cell vectors:
Al 0.500 0.500 0.500  0.00
Zr 0.000 0.000 0.000  0.13
Zr 0.750 0.750 0.750  0.12
In 0.250 0.250 0.250  -0.01



No. 17
First-principles (PBE-GGA) data for crystalline ZrAlIn at its relaxed geometry, as listed in Alexandria via LeMat-Bulk.

## Properties
- Density of states at the Fermi level: 2.33 states/eV per cell
- Energy of formation: -0.63 eV/f.u.
- Spin magnetization: 0.0 μB/f.u.

a b c (Å): 4.687 4.687 3.211
angles (deg): 90.00 90.00 120.00
Sites, in units of the cell vectors:
In 0.333 0.667 0.167
Al 0.000 0.000 0.166
Zr 0.667 0.333 0.667



No. 18
First-principles (PBE-GGA) data for crystalline ZrAlIn at its relaxed geometry, as listed in Alexandria via LeMat-Bulk.

## Properties
- Density of states at the Fermi level: 4.51 states/eV per cell
- Energy of formation: -0.90 eV/f.u.
- Spin magnetization: 0.0 μB/f.u.

a b c (Å): 4.302 4.025 7.572
angles (deg): 90.00 106.50 90.00
Sites, in units of the cell vectors:
Al 0.564 0.750 0.128
Al 0.436 0.250 0.872
In 0.254 0.750 0.507
In 0.746 0.250 0.493
Zr 0.917 0.750 0.834
Zr 0.083 0.250 0.166



No. 19
First-principles (PBE-GGA) data for crystalline Zr2AlIn2 at its relaxed geometry, as listed in Alexandria via LeMat-Bulk.

## Properties
- Density of states at the Fermi level: 5.42 states/eV per cell
- Polymorph energy (0 for the lowest one): 0.00 eV/f.u.
- Energy of formation: -0.62 eV/f.u.
- Spin magnetization: 0.0 μB/f.u.

a b c (Å): 7.146 7.146 4.312
angles (deg): 90.00 90.00 90.00
Sites, in units of the cell vectors:
In 0.136 0.364 0.000
In 0.364 0.864 0.000
In 0.636 0.136 0.000
In 0.864 0.636 0.000
Zr 0.173 0.673 0.500
Zr 0.673 0.827 0.500
Zr 0.327 0.173 0.500
Zr 0.827 0.327 0.500
Al 0.500 0.500 0.000
Al 0.000 0.000 0.000



No. 20
First-principles (PBE-GGA) data for crystalline Zr2AlIn at its relaxed geometry, as listed in Alexandria via LeMat-Bulk.

## Properties
- Density of states at the Fermi level: 5.21 states/eV per cell
- Energy of formation: -0.70 eV/f.u.
- Spin magnetization: 0.0 μB/f.u.

a b c (Å): 10.153 10.153 10.153
angles (deg): 17.96 17.96 17.96
Sites, in units of the cell vectors:
Zr 0.503 0.503 0.503
Zr 0.997 0.997 0.997
Al 0.250 0.250 0.250
In 0.750 0.750 0.750



No. 21
First-principles (PBE-GGA) data for crystalline ZrAlIn2 at its relaxed geometry, as listed in Alexandria via LeMat-Bulk.

## Properties
- Density of states at the Fermi level: 2.03 states/eV per cell
- Energy of formation: -0.28 eV/f.u.
- Spin magnetization: 0.0 μB/f.u.

a b c (Å): 10.052 10.052 10.052
angles (deg): 18.62 18.62 18.62
Sites, in units of the cell vectors:
Zr 0.504 0.504 0.504
In 0.752 0.752 0.752
In 0.997 0.997 0.997
Al 0.247 0.247 0.247



No. 22
First-principles (PBE-GGA) data for crystalline ZrAlIn at its relaxed geometry, as listed in Alexandria via LeMat-Bulk.

## Properties
- Density of states at the Fermi level: 1.06 states/eV per cell
- Energy of formation: 0.25 eV/f.u.
- Spin magnetization: 0.0 μB/f.u.

a b c (Å): 4.580 4.580 4.580
angles (deg): 60.00 60.00 60.00
Sites, in units of the cell vectors:
In 0.000 0.000 0.000
Al 0.750 0.750 0.750
Zr 0.500 0.500 0.500



No. 23
First-principles (PBE-GGA) data for crystalline Zr2AlIn at its relaxed geometry, as listed in Alexandria via LeMat-Bulk.

## Properties
- Density of states at the Fermi level: 6.16 states/eV per cell
- Energy of formation: 0.11 eV/f.u.
- Spin magnetization: 0.0 μB/f.u.

a b c (Å): 7.806 7.806 6.262
angles (deg): 51.44 51.44 90.00
Sites, in units of the cell vectors:
In 0.750 0.250 0.500
In 0.000 0.000 0.000
Zr 0.134 0.625 0.250
Zr 0.875 0.866 0.750
Zr 0.616 0.125 0.250
Zr 0.375 0.384 0.750
Al 0.250 0.750 0.500
Al 0.500 0.500 0.000



No. 24
First-principles (PBE-GGA) data for crystalline ZrAlIn2 at its relaxed geometry, as listed in Alexandria via LeMat-Bulk.

## Properties
- Density of states at the Fermi level: 1.04 states/eV per cell
- Energy of formation: -0.59 eV/f.u.
- Spin magnetization: 0.0 μB/f.u.

a b c (Å): 5.456 5.456 3.180
angles (deg): 90.00 90.00 114.26
Sites, in units of the cell vectors:
Al 0.000 0.500 0.500
Zr 0.500 0.000 0.500
In 0.000 0.000 0.000
In 0.500 0.500 0.000



No. 25
First-principles (PBE-GGA) data for crystalline Zr3AlIn at its relaxed geometry, as listed in Alexandria via LeMat-Bulk.

## Properties
- Density of states at the Fermi level: 7.50 states/eV per cell
- Polymorph energy (0 for the lowest one): 0.00 eV/f.u.
- Energy of formation: -0.02 eV/f.u.
- Spin magnetization: 0.0 μB/f.u.

a b c (Å): 5.438 6.979 6.979
angles (deg): 120.00 90.00 90.00
Sites, in units of the cell vectors:
Al 0.000 0.000 0.000
Al 0.500 0.000 0.000
Zr 0.250 0.380 0.190
Zr 0.250 0.810 0.620
Zr 0.750 0.190 0.810
Zr 0.750 0.190 0.380
Zr 0.250 0.810 0.190
Zr 0.750 0.620 0.810
In 0.750 0.667 0.333
In 0.250 0.333 0.667



No. 26
First-principles (PBE-GGA) data for crystalline Zr6AlIn5 at its relaxed geometry, as listed in Alexandria via LeMat-Bulk.

## Properties
- Density of states at the Fermi level: 8.55 states/eV per cell
- Energy of formation: -4.00 eV/f.u.
- Spin magnetization: 0.0 μB/f.u.

a b c (Å): 4.439 8.283 8.283
angles (deg): 106.81 105.53 105.53
Sites, in units of the cell vectors:
In 0.500 0.500 0.500
In 0.000 0.662 0.338
In 0.000 0.338 0.662
In 0.500 0.168 0.832
In 0.500 0.832 0.168
Zr 0.757 0.591 0.922
Zr 0.243 0.078 0.409
Zr 0.264 0.764 0.764
Zr 0.757 0.922 0.591
Zr 0.736 0.236 0.236
Zr 0.243 0.409 0.078
Al 0.000 0.000 0.000